1.
# TbPm2HgN

TbPm2HgN after structural relaxation (PBE-GGA, the Alexandria database).

Summary:
- Spin magnetization: 0.0 μB/f.u.
- Formation energy (no corrections): -0.8293 eV/atom
- E_tot: -5.381 eV/atom
- DOS(E_F): 4.69 states/eV/f.u.

extended XYZ file:
```
5
Lattice="-2.1189 -3.0408 3.0741 -0.4406 -3.3753 -3.6425 4.4551 -1.8841 1.2071" Properties=species:S:1:pos:R:3 pbc="T T T"
Hg 0.9478 -4.1501 0.3193
Pm 2.2275 -0.9421 0.6035
Pm -0.2203 -1.6877 -1.8212
N 0.0000 0.0000 0.0000
Tb -1.0595 -1.5204 1.5370
```

=====

2.
# CeCr4Se8

CeCr4Se8 after structural relaxation (PBE-GGA, the Alexandria database).

Summary:
- Spin magnetization: 12.0 μB/f.u.
- Formation energy (no corrections): -0.7607 eV/atom
- E_tot: -6.323 eV/atom
- DOS(E_F): 9.19 states/eV/f.u.

extended XYZ file:
```
13
Lattice="2.4513 -6.4425 2.6531 -0.2574 -6.0647 -4.2080 6.6639 -2.8463 -2.7876" Properties=species:S:1:pos:R:3 pbc="T T T"
Se 1.8521 -6.8959 -3.1391
Se 5.6238 -8.2649 -4.7035
Se 7.0056 -8.4576 -1.2035
Se 3.2340 -7.0886 0.3610
Se 3.1026 -10.1824 -1.7857
Se 6.8670 -11.4653 -3.3425
Se 5.7551 -5.1711 -2.5569
Se 1.9907 -3.8882 -1.0001
Cr -0.1287 -3.0323 -2.1040
Cr 1.2257 -3.2213 1.3265
Cr 0.0000 0.0000 0.0000
Cr 1.0969 -6.2536 -0.7775
Ce 4.4289 -7.6767 -2.1713
```